## Th2Pd4Rh (PBE)

Data for a relaxed structure of Th2Pd4Rh.

```
Th2Pd4Rh
1.0
-4.4142 -2.0496 0.9606
3.4346 -6.6763 1.5384
0.6572 2.0340 7.3602
Th Pd Rh
4 8 2
Direct
0.0000 0.1848 0.8152
0.0000 0.8152 0.1848
0.5000 0.6848 0.6848
0.5000 0.3152 0.3152
0.0000 0.1494 0.4169
0.0000 0.8506 0.5831
0.5000 0.0831 0.6494
0.5000 0.9169 0.3506
0.5000 0.3506 0.9169
0.5000 0.6494 0.0831
0.0000 0.4169 0.1494
0.0000 0.5831 0.8506
0.5000 0.0000 0.0000
0.0000 0.5000 0.5000
```

Values from the calculation:
E	-6.82	eV per atom
N(E_F)	0.6167	states/eV per atom
symmetry	P4_2/mnm, No. 136
spin magnetization	0.00	μB per cell